# Mn2MoP12, single point on PBEsol structure, DFT SCAN
# M_tot: 0.00 μB/atom
data_Mn2MoP12
_cell_length_a 15.8052
_cell_length_b 5.6763
_cell_length_c 10.4644
_cell_angle_alpha 90.00
_cell_angle_beta 115.79
_cell_angle_gamma 90.00
_symmetry_space_group_name_H-M 'C 1 2/c 1'
_symmetry_Int_Tables_number 15
_symmetry_space_group_name_Hall '-C 2yc'
loop_
_atom_site_label
_atom_site_fract_x
_atom_site_fract_y
_atom_site_fract_z
Mn1 0.1805 0.1926 0.0448
Mo1 0.0000 0.3040 0.2500
P1 0.0340 0.0428 0.9254
P2 0.0605 0.3622 0.6658
P3 0.1156 0.4487 0.5012
P4 0.1516 0.1790 0.2382
P5 0.1781 0.1746 0.8347
P6 0.2271 0.1739 0.5760

# HfNb2V, single point on PBEsol structure, DFT SCAN
# M_tot: 0.00 μB/atom
data_HfNb2V
_cell_length_a 6.5036
_cell_length_b 6.5036
_cell_length_c 6.5036
_cell_angle_alpha 90.00
_cell_angle_beta 90.00
_cell_angle_gamma 90.00
_symmetry_space_group_name_H-M 'F m -3 m'
_symmetry_Int_Tables_number 225
_symmetry_space_group_name_Hall '-F 4 2 3'
loop_
_atom_site_label
_atom_site_fract_x
_atom_site_fract_y
_atom_site_fract_z
Hf1 0.0000 0.0000 0.0000
Nb1 0.2500 0.2500 0.2500
V1 0.0000 0.0000 0.5000

# LaNiHg, single point on PBEsol structure, DFT SCAN
# M_tot: 0.00 μB/atom
data_LaNiHg
_cell_length_a 6.8704
_cell_length_b 6.8704
_cell_length_c 6.8704
_cell_angle_alpha 90.00
_cell_angle_beta 90.00
_cell_angle_gamma 90.00
_symmetry_space_group_name_H-M 'F -4 3 m'
_symmetry_Int_Tables_number 216
_symmetry_space_group_name_Hall 'F -4 2 3'
loop_
_atom_site_label
_atom_site_fract_x
_atom_site_fract_y
_atom_site_fract_z
La1 0.0000 0.0000 0.0000
Ni1 0.2500 0.2500 0.7500
Hg1 0.2500 0.2500 0.2500

# TiRe3Bi, single point on PBEsol structure, DFT SCAN
# M_tot: 0.27 μB/atom
data_TiRe3Bi
_cell_length_a 4.8423
_cell_length_b 4.8423
_cell_length_c 4.8423
_cell_angle_alpha 90.00
_cell_angle_beta 90.00
_cell_angle_gamma 90.00
_symmetry_space_group_name_H-M 'P m -3 m'
_symmetry_Int_Tables_number 221
_symmetry_space_group_name_Hall '-P 4 2 3'
loop_
_atom_site_label
_atom_site_fract_x
_atom_site_fract_y
_atom_site_fract_z
Ti1 0.0000 0.0000 0.0000
Re1 0.0000 0.5000 0.5000
Bi1 0.5000 0.5000 0.5000

Total energy across the listed records, respectively: -807.95 -583.76 -507.08 -292.57 eV per cell.